No. 1
Here is a crystal of Ca2ScOs relaxed with PBEsol from Alexandria via LeMat-Bulk. Energies are from meta-GGA SCAN.

Output
Distance to the lowest polymorph of the same formula (meV/atom): 75
DOS at the Fermi energy (states/eV/f.u.): 2.3
Symmetry: No. 44
Total magnetic moment (μB/atom): 0.007

abc: 3.4847 5.4108 6.2472
angles: 115.66 106.19 90.00
Fractional coordinates of all 4 atoms:
1 Ca 0.9961 0.9961 0.9923
2 Sc 0.1839 0.6839 0.3677
3 Os 0.5178 0.5178 0.0356
4 Ca 0.8022 0.3022 0.6043



No. 2
Here is a crystal of Mo2P relaxed with PBEsol from Alexandria via LeMat-Bulk. Energies are from meta-GGA SCAN.

Output
Distance to the lowest polymorph of the same formula (meV/atom): 0
DOS at the Fermi energy (states/eV/f.u.): 2.1
Symmetry: No. 12
Total magnetic moment (μB/atom): 0.000

abc: 3.0033 4.6838 6.6620
angles: 106.82 90.00 108.70
Fractional coordinates of all 6 atoms:
1 Mo 0.1439 0.2877 0.5291
2 P 0.4654 0.9308 0.2116
3 Mo 0.8561 0.7123 0.4709
4 P 0.5346 0.0692 0.7884
5 Mo 0.8344 0.6688 0.8766
6 Mo 0.1656 0.3312 0.1234



No. 3
Here is a crystal of CaScAu relaxed with PBEsol from Alexandria via LeMat-Bulk. Energies are from meta-GGA SCAN.

Output
Total energy (eV/f.u.): -95.052
DOS at the Fermi energy (states/eV/f.u.): 2.4
Symmetry: No. 107
Total magnetic moment (μB/atom): 0.001

abc: 3.4770 3.4770 6.5586
angles: 105.37 105.37 90.00
Fractional coordinates of all 3 atoms:
1 Au 0.0203 0.0203 0.0407
2 Sc 0.6268 0.6268 0.2535
3 Ca 0.3529 0.3529 0.7058



No. 4
Here is a crystal of Li2TlIn relaxed with PBEsol from Alexandria via LeMat-Bulk. Energies are from meta-GGA SCAN.

Output
Total energy (eV/f.u.): -111.649
DOS at the Fermi energy (states/eV/f.u.): 1.3
Symmetry: No. 44
Total magnetic moment (μB/atom): 0.000

abc: 3.8456 4.5706 5.5209
angles: 114.45 110.38 90.00
Fractional coordinates of all 4 atoms:
1 In 0.2530 0.7530 0.5060
2 Tl 0.4954 0.4954 0.9908
3 Li 0.7494 0.2494 0.4987
4 Li 0.0022 0.0022 0.0044



No. 5
Here is a crystal of KAlBr3 relaxed with PBEsol from Alexandria via LeMat-Bulk. Energies are from meta-GGA SCAN.

Output
DOS at the Fermi energy (states/eV/f.u.): 0.9
Symmetry: No. 221
Formation energy from raw total energies (meV/atom): -1223.5
Total magnetic moment (μB/atom): 0.000

abc: 5.2908 5.2908 5.2908
angles: 90.00 90.00 90.00
Fractional coordinates of all 5 atoms:
1 Br 0.0000 0.0000 0.5000
2 Br 0.5000 0.0000 0.0000
3 K 0.5000 0.5000 0.5000
4 Al 0.0000 0.0000 0.0000
5 Br 0.0000 0.5000 0.0000



No. 6
Here is a crystal of KH2PbAu relaxed with PBEsol from Alexandria via LeMat-Bulk. Energies are from meta-GGA SCAN.

Output
Total energy (eV/f.u.): -156.673
DOS at the Fermi energy (states/eV/f.u.): 1.5
Symmetry: No. 123
Total magnetic moment (μB/atom): 0.000

abc: 4.3168 4.3168 5.7579
angles: 90.00 90.00 90.00
Fractional coordinates of all 5 atoms:
1 H 0.0000 0.5000 0.0000
2 Pb 0.5000 0.5000 0.5000
3 H 0.5000 0.0000 0.0000
4 K 0.0000 0.0000 0.0000
5 Au 0.0000 0.0000 0.5000